# PBE K3Tl3CdF8, relaxed
# DFT total energy	-3.992	eV/atom
# total moment	0.0	μB per formula unit
# energy relative to the elements, uncorrected	-216.18	kJ/mol of atoms
data_K3Tl3CdF8
_chemical_formula_sum 'K9 Tl9 Cd3 F24'
_cell_length_a 7.6836
_cell_length_b 7.6836
_cell_length_c 19.2917
_cell_angle_alpha 90.00
_cell_angle_beta 90.00
_cell_angle_gamma 120.00
_space_group_name_H-M_alt 'R -3 m'
_space_group_IT_number 166
_space_group_name_Hall '-R 3 2"'
loop_
_atom_site_label
_atom_site_fract_x
_atom_site_fract_y
_atom_site_fract_z
_atom_site_occupancy
K1 0.0000 0.5000 0.0000 1
Tl1 0.0000 0.5000 0.5000 1
Cd1 0.0000 0.0000 0.0000 1
F1 0.0000 0.0000 0.2557 1
F2 0.0486 0.5243 0.7341 1